Entry from Alexandria: a geometry-optimized Na2Tm2HfSe6 structure (PBE).

The value obtained for the total energy is -5.451 eV per atom. The uncorrected formation energy comes out at -1.59 eV per atom.

The space group is C2/m (No. 12) and the conventional cell measures 6.9536, 11.9439 and 7.4776 Å, with angles of 90.00, 108.20 and 90.00 degrees. The distinct sites, in fractional coordinates, are Na at (0.0000, 0.1696, 0.0000), Tm at (0.0000, 0.3332, 0.5000), Hf at (0.0000, 0.0000, 0.5000), Se at (0.2346, 0.1597, 0.7210) and Se at (0.2437, 0.0000, 0.2807).